NaV2GaO6: relaxed, PBE with a Hubbard U.

- Space group: No. 15
- Raw total energy: -6.775 eV per atom

Cell: 5.995 7.399 7.399 Å, 89.13 73.44 73.44°
Site moments in Bohr magnetons follow the coordinates.
Atoms (fractional coordinates):
Na (0.250, 0.886, 0.114)  0.00
Na (0.750, 0.114, 0.886)  0.00
V (0.314, 0.772, 0.610)  1.03
V (0.186, 0.390, 0.228)  1.03
V (0.686, 0.228, 0.390)  1.03
V (0.814, 0.610, 0.772)  1.03
Ga (0.250, 0.199, 0.801)  0.01
Ga (0.750, 0.801, 0.199)  0.01
O (0.185, 0.966, 0.792)  -0.02
O (0.315, 0.208, 0.034)  -0.02
O (0.815, 0.034, 0.208)  -0.02
O (0.685, 0.792, 0.966)  -0.02
O (0.453, 0.820, 0.370)  -0.01
O (0.047, 0.630, 0.180)  -0.01
O (0.547, 0.180, 0.630)  -0.01
O (0.953, 0.370, 0.820)  -0.01
O (0.049, 0.694, 0.611)  -0.05
O (0.451, 0.389, 0.306)  -0.05
O (0.951, 0.306, 0.389)  -0.05
O (0.549, 0.611, 0.694)  -0.05